Entry 1:
Material: Nd6Y3Ho
Method: DFT, GGA-PBE
State: optimized geometry

abc: 11.2460 11.2460 6.2934
angles: 90.00 90.00 120.42
With the nearest neighbours (Å) after each atom.
Sites, in units of the cell vectors:
Nd 0.0410 0.9590 0.5000  1 Ho 3.36, 2 Nd 3.53, 4 Y 3.55-3.67
Nd 0.0551 0.4758 0.9477  5 Nd 3.16-3.54, 1 Y 3.34, 2 Ho 3.38-3.50
Nd 0.2795 0.7205 0.2273  4 Nd 3.16-3.54, 1 Ho 3.36, 1 Y 3.42
Nd 0.2896 0.3756 0.1231  4 Y 3.53-3.74, 5 Nd 3.53-3.80
Nd 0.3756 0.2896 0.6231  4 Y 3.53-3.74, 5 Nd 3.53-3.80
Nd 0.4758 0.0551 0.4477  5 Nd 3.16-3.54, 1 Y 3.34, 2 Ho 3.38-3.50
Nd 0.5242 0.9449 0.9477  5 Nd 3.16-3.54, 1 Y 3.34, 2 Ho 3.38-3.50
Nd 0.6244 0.7104 0.1231  4 Y 3.53-3.74, 5 Nd 3.53-3.80
Nd 0.7104 0.6244 0.6231  4 Y 3.53-3.74, 5 Nd 3.53-3.80
Nd 0.7205 0.2795 0.7273  4 Nd 3.16-3.54, 1 Ho 3.36, 1 Y 3.42
Nd 0.9449 0.5242 0.4477  5 Nd 3.16-3.54, 1 Y 3.34, 2 Ho 3.38-3.50
Nd 0.9590 0.0410 0.0000  1 Ho 3.36, 2 Nd 3.53, 4 Y 3.55-3.67
Y 0.0553 0.2803 0.5494  6 Nd 3.34-3.67, 1 Ho 3.35
Y 0.2803 0.0553 0.0494  6 Nd 3.34-3.67, 1 Ho 3.35
Y 0.3859 0.6141 0.6582  7 Nd 3.42-3.74, 1 Ho 3.63, 2 Y 3.77
Y 0.6141 0.3859 0.1582  7 Nd 3.42-3.74, 1 Ho 3.63, 2 Y 3.77
Y 0.7197 0.9447 0.5494  6 Nd 3.34-3.67, 1 Ho 3.35
Y 0.9447 0.7197 0.0494  6 Nd 3.34-3.67, 1 Ho 3.35
Ho 0.2006 0.7994 0.7022  3 Y 3.35-3.63, 7 Nd 3.36-3.65
Ho 0.7994 0.2006 0.2022  3 Y 3.35-3.63, 7 Nd 3.36-3.65

Values from the calculation:
- Uncorrected energy: -102.47 eV for the cell shown
- ΔH_f (0 K): 134 meV/atom

Entry 2:
Material: Nd4YHo3
Method: DFT, GGA-PBE
State: optimized geometry

abc: 11.5970 7.3369 6.3240
angles: 90.00 90.00 90.00
With the nearest neighbours (Å) after each atom.
Sites, in units of the cell vectors:
Nd 0.0000 0.1272 0.0000  6 Nd 3.58-3.70, 4 Ho 3.59-3.68, 2 Y 3.63-3.71
Nd 0.0000 0.8716 0.5049  4 Ho 3.59-3.73, 6 Nd 3.59-3.70, 2 Y 3.65-3.66
Nd 0.2479 0.1277 0.3372  5 Ho 3.58-3.72, 6 Nd 3.58-3.68, 1 Y 3.61
Nd 0.2521 0.8723 0.8372  5 Ho 3.58-3.72, 6 Nd 3.58-3.68, 1 Y 3.61
Nd 0.5000 0.1284 0.0049  4 Ho 3.59-3.73, 6 Nd 3.59-3.70, 2 Y 3.65-3.66
Nd 0.5000 0.8728 0.5000  6 Nd 3.58-3.70, 4 Ho 3.59-3.68, 2 Y 3.63-3.71
Nd 0.7479 0.8723 0.8372  5 Ho 3.58-3.72, 6 Nd 3.58-3.68, 1 Y 3.61
Nd 0.7521 0.1277 0.3372  5 Ho 3.58-3.72, 6 Nd 3.58-3.68, 1 Y 3.61
Y 0.0000 0.6219 0.0052  6 Ho 3.56-3.64, 6 Nd 3.61-3.71
Y 0.5000 0.3781 0.5052  6 Ho 3.56-3.64, 6 Nd 3.61-3.71
Ho 0.0000 0.3795 0.5036  4 Ho 3.56-3.58, 6 Nd 3.58-3.73, 2 Y 3.62-3.64
Ho 0.2498 0.3787 0.8375  4 Ho 3.56-3.63, 2 Y 3.56-3.58, 6 Nd 3.59-3.72
Ho 0.2502 0.6213 0.3375  4 Ho 3.56-3.63, 2 Y 3.56-3.58, 6 Nd 3.59-3.72
Ho 0.5000 0.6205 0.0036  4 Ho 3.56-3.58, 6 Nd 3.58-3.73, 2 Y 3.62-3.64
Ho 0.7502 0.3787 0.8375  4 Ho 3.56-3.63, 2 Y 3.56-3.58, 6 Nd 3.59-3.72
Ho 0.7498 0.6213 0.3375  4 Ho 3.56-3.63, 2 Y 3.56-3.58, 6 Nd 3.59-3.72

Values from the calculation:
- Uncorrected energy: -78.11 eV for the cell shown
- ΔH_f (0 K): 27 meV/atom

Entry 3:
Material: Nd3Y5Ho4
Method: DFT, GGA-PBE
State: optimized geometry

abc: 8.5840 8.5840 9.2892
angles: 114.50 114.50 40.45
With the nearest neighbours (Å) after each atom.
Sites, in units of the cell vectors:
Nd 0.0000 0.0000 0.0000  2 Y 2.97
Nd 0.2920 0.2920 0.7712  3 Y 3.07-3.26, 2 Ho 3.29-3.41
Nd 0.7080 0.7080 0.2288  3 Y 3.07-3.26, 2 Ho 3.29-3.41
Y 0.0745 0.0745 0.6995  2 Nd 3.26-3.49, 1 Y 3.41, 2 Ho 3.62
Y 0.1722 0.1722 0.3883  4 Nd 3.21-3.48, 3 Ho 3.44-3.56
Y 0.5000 0.5000 0.0000  4 Nd 2.97-3.07
Y 0.8278 0.8278 0.6117  4 Nd 3.21-3.48, 3 Ho 3.44-3.56
Y 0.9255 0.9255 0.3005  2 Nd 3.26-3.49, 1 Y 3.41, 2 Ho 3.62
Ho 0.2899 0.2899 0.1234  3 Nd 3.29-3.56, 3 Ho 3.62-3.64, 2 Y 3.62
Ho 0.4185 0.4185 0.5583  2 Ho 3.25-3.64, 1 Nd 3.41, 3 Y 3.44-3.56
Ho 0.5815 0.5815 0.4417  2 Ho 3.25-3.64, 1 Nd 3.41, 3 Y 3.44-3.56
Ho 0.7101 0.7101 0.8766  3 Nd 3.29-3.56, 3 Ho 3.62-3.64, 2 Y 3.62

Values from the calculation:
- Uncorrected energy: -62.11 eV for the cell shown
- ΔH_f (0 K): 235 meV/atom

Entry 4:
Material: NdY4Ho3
Method: DFT, GGA-PBE
State: optimized geometry

abc: 13.4732 13.4732 3.5610
angles: 90.11 90.11 24.23
With the nearest neighbours (Å) after each atom.
Sites, in units of the cell vectors:
Nd 0.0000 0.0000 0.0000  4 Y 3.28-3.29, 4 Ho 3.34, 2 Nd 3.56
Y 0.1048 0.1048 0.5008  1 Y 3.13, 2 Nd 3.28-3.29
Y 0.2236 0.2236 0.4989  3 Y 3.13-3.15
Y 0.7764 0.7764 0.5011  3 Y 3.13-3.15
Y 0.8952 0.8952 0.4992  1 Y 3.13, 2 Nd 3.28-3.29
Ho 0.3435 0.3435 0.0001  2 Ho 3.56, 10 Y 3.61-3.78
Ho 0.5000 0.5000 0.5000  4 Nd 3.34, 2 Ho 3.56
Ho 0.6565 0.6565 0.9999  2 Ho 3.56, 10 Y 3.61-3.78

Values from the calculation:
- Uncorrected energy: -42.53 eV for the cell shown
- ΔH_f (0 K): 228 meV/atom

Entry 5:
Material: Nd6Y2Ho3
Method: DFT, GGA-PBE
State: optimized geometry

abc: 17.4405 17.4405 17.4405
angles: 164.32 164.32 22.24
With the nearest neighbours (Å) after each atom.
Sites, in units of the cell vectors:
Nd 0.1210 0.6210 0.5000  6 Nd 3.36-3.75, 2 Ho 3.46, 2 Y 3.52
Nd 0.2057 0.2057 0.0000  5 Ho 3.38-3.42, 4 Nd 3.75
Nd 0.3790 0.8790 0.5000  6 Nd 3.36-3.75, 2 Ho 3.46, 2 Y 3.52
Nd 0.6210 0.1210 0.5000  6 Nd 3.36-3.75, 2 Ho 3.46, 2 Y 3.52
Nd 0.7943 0.7943 0.0000  5 Ho 3.38-3.42, 4 Nd 3.75
Nd 0.8790 0.3790 0.5000  6 Nd 3.36-3.75, 2 Ho 3.46, 2 Y 3.52
Y 0.0452 0.0452 0.0000  1 Y 3.10
Y 0.9548 0.9548 0.0000  1 Y 3.10
Ho 0.3055 0.3055 0.0000  9 Nd 3.38-3.46
Ho 0.5000 0.5000 0.0000  8 Y 3.70
Ho 0.6945 0.6945 0.0000  9 Nd 3.38-3.46

Values from the calculation:
- Uncorrected energy: -52.00 eV for the cell shown
- ΔH_f (0 K): 297 meV/atom

Entry 6:
Material: Nd2Y3Ho8
Method: DFT, GGA-PBE
State: optimized geometry

abc: 11.0556 11.0556 5.5463
angles: 90.00 90.00 139.79
With the nearest neighbours (Å) after each atom.
Sites, in units of the cell vectors:
Nd 0.2411 0.7589 0.0000  8 Ho 3.42-3.61, 2 Nd 3.82
Nd 0.7589 0.2411 0.0000  8 Ho 3.42-3.61, 2 Nd 3.82
Y 0.0000 0.0000 0.0000  4 Ho 3.12
Y 0.2859 0.2859 0.5000  3 Y 3.25-3.52, 6 Ho 3.46-3.56
Y 0.7141 0.7141 0.5000  3 Y 3.25-3.52, 6 Ho 3.46-3.56
Ho 0.1300 0.8700 0.5000  4 Y 3.46-3.87, 6 Ho 3.56-3.86, 2 Nd 3.61
Ho 0.1797 0.3942 0.0000  1 Y 3.12, 3 Ho 3.24-3.41
Ho 0.3376 0.6624 0.5000  4 Ho 3.41, 2 Nd 3.42, 2 Y 3.74
Ho 0.3942 0.1797 0.0000  1 Y 3.12, 3 Ho 3.24-3.41
Ho 0.6058 0.8203 0.0000  1 Y 3.12, 3 Ho 3.24-3.41
Ho 0.6624 0.3376 0.5000  4 Ho 3.41, 2 Nd 3.42, 2 Y 3.74
Ho 0.8203 0.6058 0.0000  1 Y 3.12, 3 Ho 3.24-3.41
Ho 0.8700 0.1300 0.5000  4 Y 3.46-3.87, 6 Ho 3.56-3.86, 2 Nd 3.61

Values from the calculation:
- Uncorrected energy: -62.38 eV for the cell shown
- ΔH_f (0 K): 244 meV/atom

Entry 7:
Material: Nd3Y2Ho7
Method: DFT, GGA-PBE
State: optimized geometry

abc: 6.3566 3.5293 17.5534
angles: 90.00 96.21 90.00
With the nearest neighbours (Å) after each atom.
Sites, in units of the cell vectors:
Nd 0.0000 0.0000 0.0000  2 Nd 3.53, 10 Ho 3.55-3.64
Nd 0.0470 0.5000 0.6585  2 Nd 3.53, 4 Y 3.63-3.66, 7 Ho 3.63-3.73
Nd 0.9530 0.5000 0.3415  2 Nd 3.53, 4 Y 3.63-3.66, 7 Ho 3.63-3.73
Y 0.4451 0.0000 0.3262  5 Ho 3.43-3.49, 2 Y 3.53, 4 Nd 3.63-3.66
Y 0.5549 0.0000 0.6738  5 Ho 3.43-3.49, 2 Y 3.53, 4 Nd 3.63-3.66
Ho 0.2301 0.5000 0.1649  2 Y 3.49, 7 Ho 3.52-3.66, 3 Nd 3.57-3.73
Ho 0.2467 0.0000 0.5004  2 Ho 3.14-3.22, 2 Y 3.43-3.44
Ho 0.2750 0.0000 0.8342  1 Y 3.49, 8 Ho 3.53-3.66, 3 Nd 3.55-3.71
Ho 0.5000 0.5000 0.0000  8 Ho 3.52-3.57, 4 Nd 3.64
Ho 0.7250 0.0000 0.1658  1 Y 3.49, 8 Ho 3.53-3.66, 3 Nd 3.55-3.71
Ho 0.7533 0.0000 0.4996  2 Ho 3.14-3.22, 2 Y 3.43-3.44
Ho 0.7699 0.5000 0.8351  2 Y 3.49, 7 Ho 3.52-3.66, 3 Nd 3.57-3.73

Values from the calculation:
- Uncorrected energy: -58.23 eV for the cell shown
- ΔH_f (0 K): 87 meV/atom

Entry 8:
Material: Nd4Y4Ho
Method: DFT, GGA-PBE
State: optimized geometry

abc: 6.2464 6.2464 10.8519
angles: 106.65 106.65 48.47
With the nearest neighbours (Å) after each atom.
Sites, in units of the cell vectors:
Nd 0.0002 0.0002 0.1679  8 Y 3.60-3.62, 1 Ho 3.60, 3 Nd 3.62-3.64
Nd 0.9998 0.9998 0.8321  8 Y 3.60-3.62, 1 Ho 3.60, 3 Nd 3.62-3.64
Nd 0.3331 0.3331 0.6106  3 Ho 3.60-3.61, 5 Y 3.61-3.63, 4 Nd 3.61-3.62
Nd 0.6669 0.6669 0.3894  3 Ho 3.60-3.61, 5 Y 3.61-3.63, 4 Nd 3.61-3.62
Y 0.3328 0.3328 0.2771  7 Nd 3.60-3.62, 3 Y 3.60-3.63, 2 Ho 3.63
Y 0.3342 0.3342 0.9455  6 Y 3.59-3.63, 6 Nd 3.62-3.63
Y 0.6658 0.6658 0.0545  6 Y 3.59-3.63, 6 Nd 3.62-3.63
Y 0.6672 0.6672 0.7229  7 Nd 3.60-3.62, 3 Y 3.60-3.63, 2 Ho 3.63
Ho 0.0000 0.0000 0.5000  8 Nd 3.60-3.61, 4 Y 3.63

Values from the calculation:
- Uncorrected energy: -49.36 eV for the cell shown
- ΔH_f (0 K): 16 meV/atom

Entry 9:
Material: NdY3Ho7
Method: DFT, GGA-PBE
State: optimized geometry

abc: 7.0438 7.0438 8.6248
angles: 90.00 90.00 120.00
With the nearest neighbours (Å) after each atom.
Sites, in units of the cell vectors:
Nd 0.0000 0.0000 0.0000  9 Ho 3.47-3.52, 3 Y 3.58
Y 0.1672 0.3344 0.6596  4 Y 3.51-3.53, 5 Ho 3.52-3.54, 1 Nd 3.58
Y 0.1672 0.8328 0.6596  4 Y 3.51-3.53, 5 Ho 3.52-3.54, 1 Nd 3.58
Y 0.6656 0.8328 0.6596  4 Y 3.51-3.53, 5 Ho 3.52-3.54, 1 Nd 3.58
Ho 0.0026 0.5013 0.9968  7 Ho 3.47-3.55, 2 Nd 3.52, 2 Y 3.54
Ho 0.3310 0.1655 0.3265  1 Nd 3.47, 8 Ho 3.50-3.55, 2 Y 3.52
Ho 0.3333 0.6667 0.3235  9 Ho 3.47-3.52, 3 Y 3.54
Ho 0.4987 0.5013 0.9968  7 Ho 3.47-3.55, 2 Nd 3.52, 2 Y 3.54
Ho 0.4987 0.9974 0.9968  7 Ho 3.47-3.55, 2 Nd 3.52, 2 Y 3.54
Ho 0.8345 0.1655 0.3265  1 Nd 3.47, 8 Ho 3.50-3.55, 2 Y 3.52
Ho 0.8345 0.6690 0.3265  1 Nd 3.47, 8 Ho 3.50-3.55, 2 Y 3.52

Values from the calculation:
- Uncorrected energy: -54.04 eV for the cell shown
- ΔH_f (0 K): 197 meV/atom

Entry 10:
Material: Nd3Y6Ho
Method: DFT, GGA-PBE
State: optimized geometry

abc: 10.9338 10.9338 6.4440
angles: 90.00 90.00 119.77
With the nearest neighbours (Å) after each atom.
Sites, in units of the cell vectors:
Nd 0.1136 0.8864 0.5000  7 Y 3.48-3.85, 2 Nd 3.60, 1 Ho 3.69
Nd 0.2078 0.4360 0.8928  1 Ho 3.23, 6 Y 3.32-3.56, 1 Nd 3.60
Nd 0.4360 0.2078 0.3928  1 Ho 3.23, 6 Y 3.32-3.56, 1 Nd 3.60
Nd 0.5640 0.7922 0.8928  1 Ho 3.23, 6 Y 3.32-3.56, 1 Nd 3.60
Nd 0.7922 0.5640 0.3928  1 Ho 3.23, 6 Y 3.32-3.56, 1 Nd 3.60
Nd 0.8864 0.1136 0.0000  7 Y 3.48-3.85, 2 Nd 3.60, 1 Ho 3.69
Y 0.0282 0.4456 0.3023  5 Y 3.22-3.59, 2 Nd 3.32-3.46, 2 Ho 3.37-3.54
Y 0.1234 0.2121 0.4832  3 Nd 3.40-3.51, 4 Y 3.41-3.68
Y 0.2121 0.1234 0.9832  3 Nd 3.40-3.51, 4 Y 3.41-3.68
Y 0.2328 0.7672 0.0880  4 Y 3.22-3.39, 1 Ho 3.39, 1 Nd 3.48
Y 0.4456 0.0282 0.8023  5 Y 3.22-3.59, 2 Nd 3.32-3.46, 2 Ho 3.37-3.54
Y 0.4607 0.5393 0.2929  1 Ho 3.40, 4 Nd 3.53-3.56, 2 Y 3.55
Y 0.5393 0.4607 0.7929  1 Ho 3.40, 4 Nd 3.53-3.56, 2 Y 3.55
Y 0.5544 0.9718 0.3023  5 Y 3.22-3.59, 2 Nd 3.32-3.46, 2 Ho 3.37-3.54
Y 0.7672 0.2328 0.5880  4 Y 3.22-3.39, 1 Ho 3.39, 1 Nd 3.48
Y 0.7879 0.8766 0.4832  3 Nd 3.40-3.51, 4 Y 3.41-3.68
Y 0.8766 0.7879 0.9832  3 Nd 3.40-3.51, 4 Y 3.41-3.68
Y 0.9718 0.5544 0.8023  5 Y 3.22-3.59, 2 Nd 3.32-3.46, 2 Ho 3.37-3.54
Ho 0.3070 0.6930 0.5669  2 Nd 3.23, 6 Y 3.37-3.54
Ho 0.6930 0.3070 0.0669  2 Nd 3.23, 6 Y 3.37-3.54

Values from the calculation:
- Uncorrected energy: -112.49 eV for the cell shown
- ΔH_f (0 K): 142 meV/atom

Entry 11:
Material: Nd3Y4Ho2
Method: DFT, GGA-PBE
State: optimized geometry

abc: 6.2295 6.2295 14.8214
angles: 110.41 110.41 33.56
With the nearest neighbours (Å) after each atom.
Sites, in units of the cell vectors:
Nd 0.0000 0.0000 0.0000  4 Ho 3.58, 6 Y 3.59-3.60, 2 Nd 3.60
Nd 0.1097 0.1097 0.4420  5 Y 3.57-3.64, 2 Ho 3.59, 5 Nd 3.60-3.63
Nd 0.8903 0.8903 0.5580  5 Y 3.57-3.64, 2 Ho 3.59, 5 Nd 3.60-3.63
Y 0.2220 0.2220 0.8887  6 Y 3.58-3.60, 3 Ho 3.58-3.59, 3 Nd 3.59-3.60
Y 0.3308 0.3308 0.3315  5 Nd 3.57-3.64, 4 Y 3.58-3.60, 3 Ho 3.59-3.60
Y 0.6692 0.6692 0.6685  5 Nd 3.57-3.64, 4 Y 3.58-3.60, 3 Ho 3.59-3.60
Y 0.7780 0.7780 0.1113  6 Y 3.58-3.60, 3 Ho 3.58-3.59, 3 Nd 3.59-3.60
Ho 0.4462 0.4462 0.7796  4 Nd 3.58-3.59, 6 Y 3.58-3.60, 2 Ho 3.60
Ho 0.5538 0.5538 0.2204  4 Nd 3.58-3.59, 6 Y 3.58-3.60, 2 Ho 3.60

Values from the calculation:
- Uncorrected energy: -49.15 eV for the cell shown
- ΔH_f (0 K): 18 meV/atom

Entry 12:
Material: Nd15Y4Ho
Method: DFT, GGA-PBE
State: optimized geometry

abc: 5.1719 5.1719 25.7424
angles: 90.00 90.00 90.00
With the nearest neighbours (Å) after each atom.
Sites, in units of the cell vectors:
Nd 0.0000 0.0000 0.0000  8 Nd 3.64, 4 Ho 3.66
Nd 0.0000 0.0000 0.1996  8 Nd 3.65, 4 Y 3.66
Nd 0.0000 0.0000 0.4000  8 Nd 3.65, 4 Y 3.66
Nd 0.0000 0.0000 0.6000  8 Nd 3.65, 4 Y 3.66
Nd 0.0000 0.0000 0.8004  8 Nd 3.65, 4 Y 3.66
Nd 0.0000 0.5000 0.0994  2 Ho 3.64, 8 Nd 3.64-3.66, 2 Y 3.65
Nd 0.0000 0.5000 0.2998  4 Y 3.65, 8 Nd 3.65-3.66
Nd 0.0000 0.5000 0.5000  8 Nd 3.65-3.66, 4 Y 3.65
Nd 0.0000 0.5000 0.7002  4 Y 3.65, 8 Nd 3.65-3.66
Nd 0.0000 0.5000 0.9006  2 Ho 3.64, 8 Nd 3.64-3.66, 2 Y 3.65
Nd 0.5000 0.0000 0.0994  2 Ho 3.64, 8 Nd 3.64-3.66, 2 Y 3.65
Nd 0.5000 0.0000 0.2998  4 Y 3.65, 8 Nd 3.65-3.66
Nd 0.5000 0.0000 0.5000  8 Nd 3.65-3.66, 4 Y 3.65
Nd 0.5000 0.0000 0.7002  4 Y 3.65, 8 Nd 3.65-3.66
Nd 0.5000 0.0000 0.9006  2 Ho 3.64, 8 Nd 3.64-3.66, 2 Y 3.65
Y 0.5000 0.5000 0.1997  12 Nd 3.65-3.66
Y 0.5000 0.5000 0.4000  12 Nd 3.65-3.66
Y 0.5000 0.5000 0.6000  12 Nd 3.65-3.66
Y 0.5000 0.5000 0.8003  12 Nd 3.65-3.66
Ho 0.5000 0.5000 0.0000  12 Nd 3.64-3.66

Values from the calculation:
- Uncorrected energy: -101.76 eV for the cell shown
- ΔH_f (0 K): 9 meV/atom